This record from Alexandria describes a relaxed structure of YHf. The functional is PBE.

As for the volume: 423 Å³ per cell. As for the crystal system: orthorhombic. Its final energy is -8.0360 eV/atom. The density of states at the Fermi level comes out at 2.7 states/eV/f.u.

Lattice parameters (Å, degrees): 5.8496 6.7546 10.7037 90.00 90.00 90.00
Space group P2_12_12_1 (No. 19)
Asymmetric unit:
Y1 0.0112 0.1246 0.2488
Y2 0.1670 0.3797 0.5047
Hf1 0.0123 0.1264 0.7562
Hf2 0.1649 0.8668 0.5060

***

This record from Alexandria describes a relaxed structure of LuTaCoRe. The functional is PBE.

As for the volume: 266 Å³ per cell. As for the crystal system: cubic. Its final energy is -9.1167 eV/atom. The density of states at the Fermi level comes out at 1.2 states/eV/f.u.

Lattice parameters (Å, degrees): 6.4308 6.4308 6.4308 90.00 90.00 90.00
Space group F-43m (No. 216)
Asymmetric unit:
Lu1 0.0000 0.0000 0.0000
Ta1 0.0000 0.0000 0.5000
Co1 0.2500 0.2500 0.7500
Re1 0.2500 0.2500 0.2500

***

This record from Alexandria describes a relaxed structure of KBaSc2. The functional is PBE.

The energy above the most stable polymorph in this dataset is 211 meV per atom. As for the volume: 315 Å³ per cell. As for the crystal system: orthorhombic. Its final energy is -3.3689 eV/atom. The density of states at the Fermi level comes out at 5.7 states/eV/f.u.

Lattice parameters (Å, degrees): 3.7495 6.5273 12.8878 90.00 90.00 90.00
Space group Imm2 (No. 44)
Asymmetric unit:
K1 0.0000 0.0000 0.0000
Ba1 0.0000 0.5000 0.2218
Sc1 0.0000 0.0000 0.4423
Sc2 0.0000 0.5000 0.7568

***

This record from Alexandria describes a relaxed structure of Pr2MgAlPt2. The functional is PBE.

As for the volume: 541 Å³ per cell. As for the crystal system: orthorhombic. Its final energy is -5.4067 eV/atom. The density of states at the Fermi level comes out at 5.1 states/eV/f.u.

Lattice parameters (Å, degrees): 6.1365 14.4095 6.1205 90.00 90.00 90.00
Space group Ibam (No. 72)
Asymmetric unit:
Pr1 0.2452 0.1740 0.0000
Mg1 0.0000 0.0000 0.2500
Al1 0.0000 0.5000 0.2500
Pt1 0.2334 0.3874 0.0000